A geometry-optimized MnZnGa4O8 structure. Source: the Alexandria database, functional PBE with a Hubbard U.

## Properties
Magnetic moment in μB per cell: 2.661
SG: R3m
Total DFT energy (no corrections) in eV per formula unit: -83.05

Cell: 6.0082 6.0082 5.9709 Å, 59.79 59.79 60.00°
Last column: nearest neighbours and their distance in Å.
Sites, in units of the cell vectors:
Ga  0.0020  0.4944  0.5017  6 O 2.00-2.08
Ga  0.4944  0.0020  0.5017  6 O 2.00-2.08
Ga  0.0020  0.0020  0.5017  6 O 2.00-2.08
Ga  0.6218  0.6218  0.1346  4 O 1.95-1.98
O  0.7573  0.7573  0.7282  4 Ga 1.98-2.08
O  0.2414  0.2414  0.7327  1 Zn 1.99, 2 Ga 2.00, 1 Mn 2.04
O  0.7559  0.7559  0.2635  3 Ga 1.95-2.05, 1 Mn 2.08
O  0.7846  0.2414  0.7327  1 Zn 1.99, 2 Ga 2.00, 1 Mn 2.04
O  0.7559  0.2247  0.2635  3 Ga 1.95-2.05, 1 Mn 2.08
O  0.2414  0.7846  0.7327  1 Zn 1.99, 2 Ga 2.00, 1 Mn 2.04
O  0.2247  0.7559  0.2635  3 Ga 1.95-2.05, 1 Mn 2.08
O  0.2400  0.2400  0.2800  1 Zn 2.01, 3 Ga 2.02
Zn  0.3780  0.3780  0.8661  4 O 1.99-2.01
Mn  0.0009  0.0009  0.9973  6 O 2.04-2.08